# ScInPb2S5 | Alexandria | PBE-GGA | optimized geometry
data_ScInPb2S5
_cell_length_a 3.911
_cell_length_b 17.259
_cell_length_c 13.079
_cell_angle_alpha 90.00
_cell_angle_beta 90.00
_cell_angle_gamma 90.00
_symmetry_space_group_name_H-M 'C m c 21'
_symmetry_Int_Tables_number 36
_symmetry_space_group_name_Hall 'C 2c -2'
loop_
_atom_site_label
_atom_site_fract_x
_atom_site_fract_y
_atom_site_fract_z
_atom_site_occupancy
Sc1 0.000 0.210 0.000 1
In1 0.000 0.450 0.410 1
Pb1 0.000 0.119 0.632 1
Pb2 0.000 0.135 0.281 1
S1 0.000 0.052 0.027 1
S2 0.000 0.286 0.635 1
S3 0.000 0.306 0.367 1
S4 0.000 0.357 0.982 1
S5 0.000 0.486 0.745 1
# total magnetic moment	0.0	μB per formula unit
# ΔE_f (raw)	-0.905	eV per atom
# crystal system	orthorhombic
# V	24.52	Å³ per atom

# InPb5Se2S4 | Alexandria | PBE-GGA | optimized geometry
data_InPb5Se2S4
_cell_length_a 8.969
_cell_length_b 10.767
_cell_length_c 7.709
_cell_angle_alpha 90.00
_cell_angle_beta 90.00
_cell_angle_gamma 90.00
_symmetry_space_group_name_H-M 'A m m 2'
_symmetry_Int_Tables_number 38
_symmetry_space_group_name_Hall 'A 2 -2'
loop_
_atom_site_label
_atom_site_fract_x
_atom_site_fract_y
_atom_site_fract_z
_atom_site_occupancy
In1 0.000 0.000 0.000 1
Pb1 0.243 0.187 0.469 1
Pb2 0.500 0.000 0.013 1
Se1 0.500 0.213 0.771 1
S1 0.000 0.187 0.808 1
S2 0.219 0.000 0.203 1
# total magnetic moment	0.0	μB per formula unit
# ΔE_f (raw)	-0.413	eV per atom
# crystal system	orthorhombic
# V	31.02	Å³ per atom

# SmIn2PbS4 | Alexandria | PBE-GGA | optimized geometry
data_SmIn2PbS4
_cell_length_a 7.309
_cell_length_b 4.074
_cell_length_c 7.362
_cell_angle_alpha 90.00
_cell_angle_beta 108.51
_cell_angle_gamma 90.00
_symmetry_space_group_name_H-M 'P 1 2/m 1'
_symmetry_Int_Tables_number 10
_symmetry_space_group_name_Hall '-P 2y'
loop_
_atom_site_label
_atom_site_fract_x
_atom_site_fract_y
_atom_site_fract_z
_atom_site_occupancy
Sm1 0.000 0.000 0.000 1
In1 0.500 0.000 0.500 1
In2 0.500 0.500 0.000 1
Pb1 0.000 0.500 0.500 1
S1 0.229 0.500 0.220 1
S2 0.248 0.000 0.773 1
# total magnetic moment	0.0	μB per formula unit
# ΔE_f (raw)	-0.871	eV per atom
# crystal system	monoclinic
# V	25.99	Å³ per atom

# InSnPb2S4 | Alexandria | PBE-GGA | optimized geometry
data_InSnPb2S4
_cell_length_a 8.289
_cell_length_b 8.333
_cell_length_c 11.780
_cell_angle_alpha 90.00
_cell_angle_beta 90.00
_cell_angle_gamma 90.00
_symmetry_space_group_name_H-M 'I m m a'
_symmetry_Int_Tables_number 74
_symmetry_space_group_name_Hall '-I 2b 2'
loop_
_atom_site_label
_atom_site_fract_x
_atom_site_fract_y
_atom_site_fract_z
_atom_site_occupancy
In1 0.250 0.250 0.250 1
Sn1 0.000 0.000 0.000 1
Pb1 0.000 0.000 0.500 1
Pb2 0.250 0.250 0.750 1
S1 0.000 0.009 0.247 1
S2 0.244 0.250 0.004 1
# total magnetic moment	0.0	μB per formula unit
# ΔE_f (raw)	-0.436	eV per atom
# crystal system	orthorhombic
# V	25.43	Å³ per atom

# In3SnPb2S8 | Alexandria | PBE-GGA | optimized geometry
data_In3SnPb2S8
_cell_length_a 7.8401
_cell_length_b 7.8401
_cell_length_c 21.6804
_cell_angle_alpha 90.00
_cell_angle_beta 90.00
_cell_angle_gamma 120.00
_symmetry_space_group_name_H-M 'R 3 m'
_symmetry_Int_Tables_number 160
_symmetry_space_group_name_Hall 'R 3 -2"'
loop_
_atom_site_label
_atom_site_fract_x
_atom_site_fract_y
_atom_site_fract_z
_atom_site_occupancy
In1 0.0051 0.5026 0.0000 1
Sn1 0.0000 0.0000 0.8855 1
Pb1 0.0000 0.0000 0.1275 1
Pb2 0.0000 0.0000 0.4918 1
S1 0.0000 0.0000 0.2703 1
S2 0.0000 0.0000 0.7269 1
S3 0.0142 0.5071 0.2610 1
S4 0.1773 0.3546 0.0689 1
# total magnetic moment	0.0	μB per formula unit
# ΔE_f (raw)	-0.448	eV per atom
# crystal system	trigonal
# V	27.48	Å³ per atom

# InSn2PbS4 | Alexandria | PBE-GGA | optimized geometry
data_InSn2PbS4
_cell_length_a 8.262
_cell_length_b 8.274
_cell_length_c 11.712
_cell_angle_alpha 90.00
_cell_angle_beta 90.00
_cell_angle_gamma 90.00
_symmetry_space_group_name_H-M 'I m m a'
_symmetry_Int_Tables_number 74
_symmetry_space_group_name_Hall '-I 2b 2'
loop_
_atom_site_label
_atom_site_fract_x
_atom_site_fract_y
_atom_site_fract_z
_atom_site_occupancy
In1 0.250 0.250 0.250 1
Sn1 0.000 0.000 0.000 1
Sn2 0.250 0.250 0.750 1
Pb1 0.000 0.000 0.500 1
S1 0.000 0.002 0.753 1
S2 0.244 0.250 0.999 1
# total magnetic moment	0.0	μB per formula unit
# ΔE_f (raw)	-0.411	eV per atom
# crystal system	orthorhombic
# V	25.02	Å³ per atom

# In2SnPbS6 | Alexandria | PBE-GGA | optimized geometry
data_In2SnPbS6
_cell_length_a 12.243
_cell_length_b 13.829
_cell_length_c 7.355
_cell_angle_alpha 90.00
_cell_angle_beta 113.62
_cell_angle_gamma 90.00
_symmetry_space_group_name_H-M 'C 1 2/c 1'
_symmetry_Int_Tables_number 15
_symmetry_space_group_name_Hall '-C 2yc'
loop_
_atom_site_label
_atom_site_fract_x
_atom_site_fract_y
_atom_site_fract_z
_atom_site_occupancy
In1 0.118 0.082 0.152 1
Sn1 0.000 0.319 0.750 1
Pb1 0.000 0.403 0.250 1
S1 0.120 0.080 0.500 1
S2 0.129 0.258 0.074 1
S3 0.134 0.432 0.684 1
# total magnetic moment	0.0	μB per formula unit
# ΔE_f (raw)	-0.435	eV per atom
# crystal system	monoclinic
# V	28.52	Å³ per atom

# SrIn4PbS8 | Alexandria | PBE-GGA | optimized geometry
data_SrIn4PbS8
_cell_length_a 7.7176
_cell_length_b 7.7176
_cell_length_c 21.8543
_cell_angle_alpha 90.00
_cell_angle_beta 90.00
_cell_angle_gamma 120.00
_symmetry_space_group_name_H-M 'R 3 m'
_symmetry_Int_Tables_number 160
_symmetry_space_group_name_Hall 'R 3 -2"'
loop_
_atom_site_label
_atom_site_fract_x
_atom_site_fract_y
_atom_site_fract_z
_atom_site_occupancy
Sr1 0.0000 0.0000 0.0000 1
In1 0.0000 0.0000 0.5149 1
In2 0.0160 0.5080 0.4931 1
Pb1 0.0000 0.0000 0.3498 1
S1 0.0000 0.0000 0.2130 1
S2 0.0000 0.0000 0.7595 1
S3 0.1694 0.3389 0.0932 1
S4 0.1718 0.3435 0.5658 1
# total magnetic moment	0.0	μB per formula unit
# ΔE_f (raw)	-0.741	eV per atom
# crystal system	trigonal
# V	26.84	Å³ per atom